# ZrMo2Ir (GGA-PBEsol, relaxed)
# - calculated density (g cm⁻³) = 12.14
# - M_tot (μB per formula unit) = 0.000
# - calculated volume (Å³ per cell) = 130.1
# - ΔH_f (0 K) (eV per formula unit) = 0.32
data_ZrMo2Ir
_cell_length_a 5.277
_cell_length_b 8.892
_cell_length_c 2.772
_cell_angle_alpha 90.00
_cell_angle_beta 90.00
_cell_angle_gamma 90.00
_space_group_name_H-M_alt 'C m m m'
_space_group_IT_number 65
_space_group_name_Hall '-C 2 2'
loop_
_atom_site_label
_atom_site_fract_x
_atom_site_fract_y
_atom_site_fract_z
Zr1 0.000 0.000 0.000
Mo1 0.250 0.250 0.500
Ir1 0.000 0.500 0.000